Material: Pr3GaPt
Method: DFT, PBE
State: relaxed

CIF file:
```
data_Pr3GaPt
_cell_length_a 8.4098
_cell_length_b 4.0669
_cell_length_c 8.7449
_cell_angle_alpha 90.00
_cell_angle_beta 102.77
_cell_angle_gamma 90.00
_space_group_name_H-M_alt 'P 1 m 1'
_space_group_IT_number 6
loop_
_space_group_symop_operation_xyz
'x,y,z'
'x,-y,z'
loop_
_atom_site_label
_atom_site_type_symbol
_atom_site_fract_x
_atom_site_fract_y
_atom_site_fract_z
Pr1 Pr 0.0000 0.0000 0.0000
Pr2 Pr 0.0050 0.5000 0.3724
Pr3 Pr 0.2891 0.5000 0.7860
Pr4 Pr 0.3804 0.0000 0.3945
Pr5 Pr 0.5986 0.5000 0.1272
Pr6 Pr 0.7300 0.5000 0.6379
Ga1 Ga 0.0224 0.0000 0.6477
Ga2 Ga 0.5906 0.0000 0.8380
Pt1 Pt 0.2460 0.5000 0.1470
Pt2 Pt 0.7425 0.0000 0.3747
```

The value obtained for the calculated density is 7.828 Mg/m³. For the formation energy, the calculation gives -0.624 eV/atom. The value obtained for the spin magnetization is 0.000 μB/cell. The value obtained for the density of states at the Fermi level is 1.34 states/eV/atom.

=====

Material: YThP2Rh5
Method: DFT, PBE
State: relaxed

CIF file:
```
data_YThP2Rh5
_cell_length_a 4.0781
_cell_length_b 4.0781
_cell_length_c 10.6348
_cell_angle_alpha 90.00
_cell_angle_beta 90.00
_cell_angle_gamma 90.00
_space_group_name_H-M_alt 'P 4/m m m'
_space_group_IT_number 123
_space_group_name_Hall '-P 4 2'
loop_
_atom_site_label
_atom_site_type_symbol
_atom_site_fract_x
_atom_site_fract_y
_atom_site_fract_z
Y1 Y 0.0000 0.0000 0.0000
Th1 Th 0.0000 0.0000 0.5000
P1 P 0.5000 0.5000 0.2856
Rh1 Rh 0.0000 0.5000 0.1982
Rh2 Rh 0.5000 0.5000 0.5000
```

The value obtained for the calculated density is 8.425 Mg/m³. For the formation energy, the calculation gives -0.791 eV/atom. The value obtained for the spin magnetization is 0.000 μB/cell. The value obtained for the density of states at the Fermi level is 0.21 states/eV/atom.

=====

Material: Cr2SnH
Method: DFT, PBE
State: relaxed

CIF file:
```
data_Cr2SnH
_cell_length_a 4.7489
_cell_length_b 4.7489
_cell_length_c 9.1673
_cell_angle_alpha 90.00
_cell_angle_beta 90.00
_cell_angle_gamma 90.00
_space_group_name_H-M_alt 'I 41/a m d'
_space_group_IT_number 141
loop_
_space_group_symop_operation_xyz
'x,y,z'
'-x,-y,-z'
'-y+1/4,x+3/4,z+1/4'
'y+1/4,-x+3/4,-z+1/4'
'-x+1/2,-y,z+1/2'
'x+1/2,y,-z+1/2'
'y+1/4,-x+1/4,z+3/4'
'-y+1/4,x+1/4,-z+3/4'
'x,-y,-z'
'-x,y,z'
'-y+1/4,-x+1/4,-z+3/4'
'y+1/4,x+1/4,z+3/4'
'-x+1/2,y,-z+1/2'
'x+1/2,-y,z+1/2'
'y+1/4,x+3/4,-z+1/4'
'-y+1/4,-x+3/4,z+1/4'
'x+1/2,y+1/2,z+1/2'
'-x+1/2,-y+1/2,-z+1/2'
'-y+3/4,x+1/4,z+3/4'
'y+3/4,-x+1/4,-z+3/4'
'-x,-y+1/2,z'
'x,y+1/2,-z'
'y+3/4,-x+3/4,z+1/4'
'-y+3/4,x+3/4,-z+1/4'
'x+1/2,-y+1/2,-z+1/2'
'-x+1/2,y+1/2,z+1/2'
'-y+3/4,-x+3/4,-z+1/4'
'y+3/4,x+3/4,z+1/4'
'-x,y+1/2,-z'
'x,-y+1/2,z'
'y+3/4,x+1/4,-z+3/4'
'-y+3/4,-x+1/4,z+3/4'
loop_
_atom_site_label
_atom_site_type_symbol
_atom_site_fract_x
_atom_site_fract_y
_atom_site_fract_z
Cr1 Cr 0.0000 0.0000 0.0000
Sn1 Sn 0.0000 0.2500 0.3750
H1 H 0.0000 0.2500 0.8750
```

The value obtained for the calculated density is 7.187 Mg/m³. Its excess energy over the best structure of this formula in the dataset is 0.00 kcal/mol of atoms. The value obtained for the spin magnetization is 4.920 μB/cell. The value obtained for the density of states at the Fermi level is 1.02 states/eV/atom.

=====

Material: Mg4H2Ir3
Method: DFT, PBE
State: relaxed

CIF file:
```
data_Mg4H2Ir3
_cell_length_a 4.5588
_cell_length_b 4.8674
_cell_length_c 7.0290
_cell_angle_alpha 82.38
_cell_angle_beta 71.24
_cell_angle_gamma 62.22
_space_group_name_H-M_alt 'P 1'
_space_group_IT_number 1
loop_
_space_group_symop_operation_xyz
'x,y,z'
loop_
_atom_site_label
_atom_site_type_symbol
_atom_site_fract_x
_atom_site_fract_y
_atom_site_fract_z
Mg1 Mg 0.0000 0.0000 0.0000
Mg2 Mg 0.0604 0.4020 0.4485
Mg3 Mg 0.4367 0.3186 0.7760
Mg4 Mg 0.5268 0.7213 0.2262
H1 H 0.5484 0.5136 0.9822
H2 H 0.5705 0.2076 0.2432
Ir1 Ir 0.2342 0.8607 0.6130
Ir2 Ir 0.7227 0.7112 0.8108
Ir3 Ir 0.7722 0.0100 0.4145
```

The value obtained for the calculated density is 8.591 Mg/m³. Its excess energy over the best structure of this formula in the dataset is 0.00 kcal/mol of atoms. The value obtained for the spin magnetization is 0.000 μB/cell. The value obtained for the density of states at the Fermi level is 0.34 states/eV/atom.

=====

Material: ErReMo
Method: DFT, PBE
State: relaxed

CIF file:
```
data_ErReMo
_cell_length_a 5.4474
_cell_length_b 8.6829
_cell_length_c 9.8908
_cell_angle_alpha 90.00
_cell_angle_beta 90.00
_cell_angle_gamma 90.00
_space_group_name_H-M_alt 'F m m m'
_space_group_IT_number 69
_space_group_name_Hall '-F 2 2'
loop_
_atom_site_label
_atom_site_type_symbol
_atom_site_fract_x
_atom_site_fract_y
_atom_site_fract_z
Er1 Er 0.0000 0.1702 0.0000
Re1 Re 0.2500 0.2500 0.2500
Mo1 Mo 0.0000 0.0000 0.3404
```

The value obtained for the calculated density is 12.761 Mg/m³. For the formation energy, the calculation gives 0.249 eV/atom. Its excess energy over the best structure of this formula in the dataset is 8.69 kcal/mol of atoms. The value obtained for the spin magnetization is 0.000 μB/cell. The value obtained for the density of states at the Fermi level is 0.99 states/eV/atom.

=====

Material: Np2SiP
Method: DFT, PBE
State: relaxed

CIF file:
```
data_Np2SiP
_cell_length_a 4.0130
_cell_length_b 4.0130
_cell_length_c 19.5469
_cell_angle_alpha 90.00
_cell_angle_beta 90.00
_cell_angle_gamma 120.00
_space_group_name_H-M_alt 'R -3 m'
_space_group_IT_number 166
_space_group_name_Hall '-R 3 2"'
loop_
_atom_site_label
_atom_site_type_symbol
_atom_site_fract_x
_atom_site_fract_y
_atom_site_fract_z
Np1 Np 0.0000 0.0000 0.2475
Si1 Si 0.0000 0.0000 0.0000
P1 P 0.0000 0.0000 0.5000
```

Its uncorrected formation energy is -0.305 eV per atom. The value obtained for the calculated density is 9.741 Mg/m³. Its excess energy over the best structure of this formula in the dataset is 1.21 kcal/mol of atoms. The value obtained for the spin magnetization is 20.661 μB/cell. The value obtained for the density of states at the Fermi level is 3.78 states/eV/atom.

=====

Material: MnBe8Fe3
Method: DFT, PBE
State: relaxed

CIF file:
```
data_MnBe8Fe3
_cell_length_a 4.1702
_cell_length_b 4.1702
_cell_length_c 6.7994
_cell_angle_alpha 90.00
_cell_angle_beta 90.00
_cell_angle_gamma 120.00
_space_group_name_H-M_alt 'P 3 m 1'
_space_group_IT_number 156
loop_
_space_group_symop_operation_xyz
'x,y,z'
'-y,x-y,z'
'-x+y,-x,z'
'-y,-x,z'
'-x+y,y,z'
'x,x-y,z'
loop_
_atom_site_label
_atom_site_type_symbol
_atom_site_fract_x
_atom_site_fract_y
_atom_site_fract_z
Mn1 Mn 0.0000 0.0000 0.0000
Be1 Be 0.1630 0.3259 0.6885
Be2 Be 0.3333 0.6667 0.4389
Be3 Be 0.3333 0.6667 0.9378
Be4 Be 0.5037 0.0073 0.1880
Fe1 Fe 0.0000 0.0000 0.3761
Fe2 Fe 0.6667 0.3333 0.5007
Fe3 Fe 0.6667 0.3333 0.8755
```

The value obtained for the calculated density is 4.777 Mg/m³. For the formation energy, the calculation gives -0.277 eV/atom. The value obtained for the spin magnetization is 6.569 μB/cell. The value obtained for the density of states at the Fermi level is 0.35 states/eV/atom.

=====

Material: Ca3Th3MnN8
Method: DFT, PBE
State: relaxed

CIF file:
```
data_Ca3Th3MnN8
_cell_length_a 6.9936
_cell_length_b 6.9936
_cell_length_c 17.1131
_cell_angle_alpha 90.00
_cell_angle_beta 90.00
_cell_angle_gamma 120.00
_space_group_name_H-M_alt 'R -3 m'
_space_group_IT_number 166
_space_group_name_Hall '-R 3 2"'
loop_
_atom_site_label
_atom_site_type_symbol
_atom_site_fract_x
_atom_site_fract_y
_atom_site_fract_z
Ca1 Ca 0.0000 0.5000 0.0000
Th1 Th 0.0000 0.5000 0.5000
Mn1 Mn 0.0000 0.0000 0.5000
N1 N 0.0000 0.0000 0.2449
N2 N 0.0414 0.5207 0.2325
```

Its uncorrected formation energy is -0.935 eV per atom. The value obtained for the calculated density is 6.758 Mg/m³. The value obtained for the spin magnetization is 3.159 μB/cell. The value obtained for the density of states at the Fermi level is 0.50 states/eV/atom.